1.
Crystalline Mn2NiRh at its relaxed geometry, computed with PBE.

Results
ΔH_f (0 K) = -0.096 eV per atom
Uncorrected energy = -31.86 eV per cell
Space group = P4/mmm, No. 123
ρ = 8.44 g/cm³

Cell: 3.013 3.013 5.886 Å, 90.00 90.00 90.00°
Atoms (fractional coordinates):
Ni 0.500 0.500 0.250
Mn 0.000 0.000 0.010
Mn 0.000 0.000 0.490
Rh 0.500 0.500 0.750

2.
Crystalline Ac7Tl4Ru at its relaxed geometry, computed with PBE.

Results
ΔH_f (0 K) = -0.196 eV per atom
Uncorrected energy = -49.85 eV per cell
Space group = C2/m, No. 12
ρ = 9.51 g/cm³

Cell: 5.839 9.252 10.022 Å, 108.71 73.06 71.61°
Atoms (fractional coordinates):
Ac 0.872 0.730 0.526
Ac 0.128 0.270 0.474
Ac 0.954 0.872 0.221
Ac 0.046 0.128 0.779
Ac 0.309 0.618 0.764
Ac 0.500 0.000 0.000
Ac 0.691 0.382 0.236
Tl 0.604 0.172 0.619
Tl 0.396 0.828 0.381
Tl 0.732 0.579 0.958
Tl 0.268 0.421 0.042
Ru 0.000 0.000 0.000